[1]
LiCuTcTeSe2: relaxed, PBE.

a = 6.844 Å, b = 6.844 Å, c = 9.820 Å
α = 90.00°, β = 90.00°, γ = 150.76°
Fractional coordinates of all 12 atoms:
Se: 0.861 0.139 0.951
Te: 0.395 0.605 0.250
Cu: 0.958 0.042 0.750
Se: 0.139 0.861 0.451
Cu: 0.042 0.958 0.250
Se: 0.861 0.139 0.549
Li: 0.292 0.708 0.750
Tc: 0.500 0.500 0.500
Se: 0.139 0.861 0.049
Tc: 0.500 0.500 0.000
Li: 0.708 0.292 0.250
Te: 0.605 0.395 0.750

total magnetic moment	0.017	Bohr magnetons per cell
symmetry	Cmcm
calculated total energy	-4.66	eV per atom
calculated density	6.7	g/cm3


[2]
LiCuTeWSe2: relaxed, PBE.

a = 6.939 Å, b = 6.939 Å, c = 9.836 Å
α = 90.00°, β = 90.00°, γ = 150.85°
Fractional coordinates of all 12 atoms:
W: 0.500 0.500 0.000
Li: 0.300 0.700 0.250
Se: 0.862 0.138 0.053
Li: 0.700 0.300 0.750
Se: 0.138 0.862 0.553
Se: 0.138 0.862 0.947
Se: 0.862 0.138 0.447
W: 0.500 0.500 0.500
Cu: 0.964 0.036 0.250
Te: 0.391 0.609 0.750
Te: 0.609 0.391 0.250
Cu: 0.036 0.964 0.750

total magnetic moment	0.088	Bohr magnetons per cell
symmetry	Cmcm
calculated total energy	-5.04	eV per atom
calculated density	7.8	g/cm3


[3]
LiCuTe2WSe: relaxed, PBE.

a = 7.253 Å, b = 7.253 Å, c = 9.732 Å
α = 90.00°, β = 90.00°, γ = 151.62°
Fractional coordinates of all 12 atoms:
Se: 0.085 0.915 0.250
Cu: 0.470 0.530 0.250
Te: 0.648 0.352 0.549
Li: 0.258 0.742 0.750
Se: 0.915 0.085 0.750
Te: 0.352 0.648 0.451
Cu: 0.530 0.470 0.750
W: 0.000 0.000 0.000
W: 0.000 0.000 0.500
Li: 0.742 0.258 0.250
Te: 0.352 0.648 0.049
Te: 0.648 0.352 0.951

total magnetic moment	0.380	Bohr magnetons per cell
symmetry	Cmcm
calculated total energy	-4.83	eV per atom
calculated density	8.0	g/cm3


Copy entry 1 word for word.
LiCuTcTeSe2: relaxed, PBE.

a = 6.844 Å, b = 6.844 Å, c = 9.820 Å
α = 90.00°, β = 90.00°, γ = 150.76°
Fractional coordinates of all 12 atoms:
Se: 0.861 0.139 0.951
Te: 0.395 0.605 0.250
Cu: 0.958 0.042 0.750
Se: 0.139 0.861 0.451
Cu: 0.042 0.958 0.250
Se: 0.861 0.139 0.549
Li: 0.292 0.708 0.750
Tc: 0.500 0.500 0.500
Se: 0.139 0.861 0.049
Tc: 0.500 0.500 0.000
Li: 0.708 0.292 0.250
Te: 0.605 0.395 0.750

total magnetic moment	0.017	Bohr magnetons per cell
symmetry	Cmcm
calculated total energy	-4.66	eV per atom
calculated density	6.7	g/cm3


What did the second record say?
LiCuTeWSe2: relaxed, PBE.

a = 6.939 Å, b = 6.939 Å, c = 9.836 Å
α = 90.00°, β = 90.00°, γ = 150.85°
Fractional coordinates of all 12 atoms:
W: 0.500 0.500 0.000
Li: 0.300 0.700 0.250
Se: 0.862 0.138 0.053
Li: 0.700 0.300 0.750
Se: 0.138 0.862 0.553
Se: 0.138 0.862 0.947
Se: 0.862 0.138 0.447
W: 0.500 0.500 0.500
Cu: 0.964 0.036 0.250
Te: 0.391 0.609 0.750
Te: 0.609 0.391 0.250
Cu: 0.036 0.964 0.750

total magnetic moment	0.088	Bohr magnetons per cell
symmetry	Cmcm
calculated total energy	-5.04	eV per atom
calculated density	7.8	g/cm3


- What is the formula in the first record?
  LiCuTcTeSe2